[1]
# TlCoTc2 | Alexandria via LeMat-Bulk | PBE-GGA | optimized geometry
data_TlCoTc2
_cell_length_a 2.8603
_cell_length_b 2.8603
_cell_length_c 26.7161
_cell_angle_alpha 90.00
_cell_angle_beta 90.00
_cell_angle_gamma 120.00
_symmetry_space_group_name_H-M 'R -3 m'
_symmetry_Int_Tables_number 166
_symmetry_space_group_name_Hall '-R 3 2"'
loop_
_atom_site_label
_atom_site_fract_x
_atom_site_fract_y
_atom_site_fract_z
_atom_site_occupancy
Tl1 0.0000 0.0000 0.0000 1
Co1 0.0000 0.0000 0.5000 1
Tc1 0.0000 0.0000 0.2404 1
# Energy relative to the elements, eV/atom: 0.67
# Energy relative to the lowest polymorph listed for this composition, meV/atom: 262.6
# Crystal system: trigonal



[2]
# Li2UCrS4 | Alexandria via LeMat-Bulk | PBE-GGA | optimized geometry
data_Li2UCrS4
_cell_length_a 6.339
_cell_length_b 3.775
_cell_length_c 6.501
_cell_angle_alpha 90.00
_cell_angle_beta 108.61
_cell_angle_gamma 90.00
_symmetry_space_group_name_H-M 'P 1 2/m 1'
_symmetry_Int_Tables_number 10
loop_
_symmetry_equiv_pos_as_xyz
'x,y,z'
'-x,-y,-z'
'-x,y,-z'
'x,-y,z'
loop_
_atom_site_label
_atom_site_fract_x
_atom_site_fract_y
_atom_site_fract_z
_atom_site_occupancy
Li1 0.000 0.000 0.000 1
Li2 0.500 0.500 0.000 1
U1 0.000 0.500 0.500 1
Cr1 0.500 0.000 0.500 1
S1 0.263 0.000 0.752 1
S2 0.271 0.500 0.264 1
# Crystal system: monoclinic
# Energy relative to the elements, uncorrected, eV per atom: -1.164



[3]
# AlTcIr2 | Alexandria via LeMat-Bulk | PBE-GGA | optimized geometry
data_AlTcIr2
_cell_length_a 5.335
_cell_length_b 5.335
_cell_length_c 12.022
_cell_angle_alpha 90.00
_cell_angle_beta 90.00
_cell_angle_gamma 90.00
_symmetry_space_group_name_H-M 'I -4 2 d'
_symmetry_Int_Tables_number 122
_symmetry_space_group_name_Hall 'I -4 2bw'
loop_
_atom_site_label
_atom_site_fract_x
_atom_site_fract_y
_atom_site_fract_z
_atom_site_occupancy
Al1 0.000 0.000 0.000 1
Tc1 0.000 0.000 0.500 1
Ir1 0.243 0.250 0.625 1
# Energy relative to the elements, eV/atom: 0.62
# Crystal system: tetragonal



[4]
# KYCl2 | Alexandria via LeMat-Bulk | PBE-GGA | optimized geometry
data_KYCl2
_cell_length_a 3.489
_cell_length_b 4.528
_cell_length_c 15.942
_cell_angle_alpha 90.00
_cell_angle_beta 90.00
_cell_angle_gamma 90.00
_symmetry_space_group_name_H-M 'I m m 2'
_symmetry_Int_Tables_number 44
loop_
_symmetry_equiv_pos_as_xyz
'x,y,z'
'-x,-y,z'
'-x,y,z'
'x,-y,z'
'x+1/2,y+1/2,z+1/2'
'-x+1/2,-y+1/2,z+1/2'
'-x+1/2,y+1/2,z+1/2'
'x+1/2,-y+1/2,z+1/2'
loop_
_atom_site_label
_atom_site_fract_x
_atom_site_fract_y
_atom_site_fract_z
_atom_site_occupancy
K1 0.000 0.000 0.000 1
Y1 0.000 0.500 0.247 1
Cl1 0.000 0.000 0.603 1
Cl2 0.000 0.500 0.762 1
# Energy relative to the lowest polymorph listed for this composition, meV/atom: 163.4
# Crystal system: orthorhombic
# Energy relative to the elements, uncorrected, eV per atom: -1.312



[5]
# RbLi | Alexandria via LeMat-Bulk | PBE-GGA | optimized geometry
data_RbLi
_cell_length_a 8.251
_cell_length_b 9.116
_cell_length_c 11.604
_cell_angle_alpha 90.00
_cell_angle_beta 90.00
_cell_angle_gamma 90.00
_symmetry_space_group_name_H-M 'P 21 21 21'
_symmetry_Int_Tables_number 19
loop_
_symmetry_equiv_pos_as_xyz
'x,y,z'
'-x+1/2,-y,z+1/2'
'x+1/2,-y+1/2,-z'
'-x,y+1/2,-z+1/2'
loop_
_atom_site_label
_atom_site_fract_x
_atom_site_fract_y
_atom_site_fract_z
_atom_site_occupancy
Rb1 0.082 0.121 0.488 1
Rb2 0.157 0.645 0.646 1
Li1 0.030 0.006 0.162 1
Li2 0.190 0.761 0.299 1
# Energy relative to the elements, eV/atom: 0.18
# Crystal system: orthorhombic



[6]
# Dy8As3Se4S | Alexandria via LeMat-Bulk | PBE-GGA | optimized geometry
data_Dy8As3Se4S
_cell_length_a 8.1283
_cell_length_b 8.1283
_cell_length_c 20.0755
_cell_angle_alpha 90.00
_cell_angle_beta 90.00
_cell_angle_gamma 120.00
_symmetry_space_group_name_H-M 'R -3 m'
_symmetry_Int_Tables_number 166
_symmetry_space_group_name_Hall '-R 3 2"'
loop_
_atom_site_label
_atom_site_fract_x
_atom_site_fract_y
_atom_site_fract_z
_atom_site_occupancy
Dy1 0.0000 0.0000 0.2462 1
Dy2 0.0037 0.5019 0.2450 1
As1 0.0000 0.5000 0.5000 1
Se1 0.0000 0.0000 0.0000 1
Se2 0.0000 0.5000 0.0000 1
S1 0.0000 0.0000 0.5000 1
# Crystal system: trigonal
# Energy relative to the elements, uncorrected, eV per atom: -1.751